DFT (PBE) results for a relaxed structure of Cs2AuBr8. Values from VASP.

Output
Total energy   -2.361 eV per atom
DOS(E_F)   1.4 states/eV/f.u.
Symmetry   P-1
Raw formation energy   -0.691 eV per atom

```
&SYSTEM
  ibrav = 0, nat = 11, ntyp = 3
/
ATOMIC_SPECIES
Br 79.90 Br.upf
Cs 132.91 Cs.upf
Au 196.97 Au.upf
ATOMIC_POSITIONS angstrom
Br -1.9440 -3.5167 -6.7212
Br -3.0629 -1.9622 -2.7426
Br -0.1234 -6.1341 1.0956
Br 3.1144 -8.2128 -0.8602
Br -5.1819 -1.4379 -4.7655
Br 0.2686 -3.9868 -0.6479
Br -2.3361 -5.6639 -4.9778
Cs 1.1806 -4.1879 -4.4528
Cs -3.2481 -5.4628 -1.1728
Au -3.4782 -0.3025 -0.9807
Br 0.9954 -7.6885 -2.8830
CELL_PARAMETERS angstrom
-6.9563 -0.6050 -1.9613
1.9630 -1.2722 -7.4225
2.9258 -7.7735 3.7582
```